Density functional theory data (GGA-PBE) for a relaxed structure of Pr5Tl.

Values from the calculation:
final energy	-26.84	eV/cell
ρ	7.54	g/cm³
N(E_F)	1.32	states/eV per atom
offset from the most stable computed form	0.28	kcal/mol of atoms

Cell: 6.281 6.281 7.369 Å, 107.16 107.16 46.68°
Fractional coordinates of all 6 atoms:
Pr 0.000 0.000 0.000
Pr 0.323 0.323 0.661
Pr 0.345 0.345 0.177
Pr 0.655 0.655 0.823
Pr 0.677 0.677 0.339
Tl 0.000 0.000 0.500